Material: CaFeW2
Method: DFT, PBE
State: optimized geometry

The space group is Cm (No. 8) and the conventional cell measures 9.1572, 2.6816 and 5.9617 Å, with angles of 90.00, 92.41 and 90.00 degrees. The distinct sites, in fractional coordinates, are Ca at (0.0000, 0.0000, 0.0000), Fe at (0.2463, 0.0000, 0.7101), W at (0.0080, 0.5000, 0.5054) and W at (0.2571, 0.5000, 0.3113).

The calculation puts the formation enthalpy at 0 K at 3.1 eV/f.u. As for the total magnetization: 5.9 μB/cell. The energy relative to the lowest polymorph listed for this composition is 198 meV/atom.